Version w
# ScTa2I

An optimized crystal structure of ScTa2I (PBE, Alexandria via LeMat-Bulk).

Output
For the calculated density, the calculation gives 10.15 g/cm³. The calculation puts the density of states at the Fermi level at 5.7 states/eV/cell.

```
data_ScTa2I
_cell_length_a 4.057
_cell_length_b 4.057
_cell_length_c 10.990
_cell_angle_alpha 79.36
_cell_angle_beta 79.36
_cell_angle_gamma 90.00
_space_group_name_H-M_alt 'P 1'
_space_group_IT_number 1
loop_
_space_group_symop_operation_xyz
'x,y,z'
loop_
_atom_site_label
_atom_site_fract_x
_atom_site_fract_y
_atom_site_fract_z
I1 0.000 0.000 0.000
I2 0.750 0.250 0.500
Sc1 0.500 0.500 0.000
Sc2 0.250 0.750 0.500
Ta1 0.622 0.125 0.250
Ta2 0.128 0.625 0.250
Ta3 0.375 0.378 0.750
Ta4 0.875 0.872 0.750
```

***

Version x
# ScTa2I

An optimized crystal structure of ScTa2I (PBE, Alexandria via LeMat-Bulk).

Output
For the calculated density, the calculation gives 10.93 g/cm³. The calculation puts the density of states at the Fermi level at 6.0 states/eV/cell.

```
data_ScTa2I
_cell_length_a 4.859
_cell_length_b 4.859
_cell_length_c 4.859
_cell_angle_alpha 60.00
_cell_angle_beta 60.00
_cell_angle_gamma 60.00
_space_group_name_H-M_alt 'P 1'
_space_group_IT_number 1
loop_
_space_group_symop_operation_xyz
'x,y,z'
loop_
_atom_site_label
_atom_site_fract_x
_atom_site_fract_y
_atom_site_fract_z
I1 0.500 0.500 0.500
Sc1 0.000 0.000 0.000
Ta1 0.250 0.250 0.250
Ta2 0.750 0.750 0.750
```

***

Stability check: which of them is most stable? version w.

***

Version w
# Sc2Tc2I

An optimized crystal structure of Sc2Tc2I (PBE, Alexandria via LeMat-Bulk).

Output
For the calculated density, the calculation gives 6.24 g/cm³. The calculation puts the density of states at the Fermi level at 2.9 states/eV/cell.

```
data_Sc2Tc2I
_cell_length_a 5.249
_cell_length_b 5.249
_cell_length_c 5.450
_cell_angle_alpha 61.21
_cell_angle_beta 61.21
_cell_angle_gamma 90.00
_space_group_name_H-M_alt 'P 1'
_space_group_IT_number 1
loop_
_space_group_symop_operation_xyz
'x,y,z'
loop_
_atom_site_label
_atom_site_fract_x
_atom_site_fract_y
_atom_site_fract_z
I1 0.000 0.000 0.000
Sc1 0.750 0.250 0.500
Sc2 0.250 0.750 0.500
Tc1 0.354 0.354 0.292
Tc2 0.646 0.646 0.708
```

***

Version x
# Sc2Tc2I

An optimized crystal structure of Sc2Tc2I (PBE, Alexandria via LeMat-Bulk).

Output
For the calculated density, the calculation gives 6.62 g/cm³. The calculation puts the density of states at the Fermi level at 12.4 states/eV/cell.

```
data_Sc2Tc2I
_cell_length_a 7.805
_cell_length_b 7.805
_cell_length_c 3.398
_cell_angle_alpha 90.00
_cell_angle_beta 90.00
_cell_angle_gamma 90.00
_space_group_name_H-M_alt 'P 1'
_space_group_IT_number 1
loop_
_space_group_symop_operation_xyz
'x,y,z'
loop_
_atom_site_label
_atom_site_fract_x
_atom_site_fract_y
_atom_site_fract_z
I1 0.000 0.000 0.000
I2 0.500 0.500 0.000
Sc1 0.181 0.681 0.500
Sc2 0.681 0.819 0.500
Sc3 0.819 0.319 0.500
Sc4 0.319 0.181 0.500
Tc1 0.398 0.898 0.000
Tc2 0.898 0.602 0.000
Tc3 0.602 0.102 0.000
Tc4 0.102 0.398 0.000
```

***

Stability check: which of them is most stable? version x.

***

Version w
# Sc2TcI

An optimized crystal structure of Sc2TcI (PBE, Alexandria via LeMat-Bulk).

Output
For the calculated density, the calculation gives 6.36 g/cm³. The calculation puts the density of states at the Fermi level at 1.3 states/eV/cell.

```
data_Sc2TcI
_cell_length_a 4.879
_cell_length_b 4.879
_cell_length_c 4.879
_cell_angle_alpha 60.00
_cell_angle_beta 60.00
_cell_angle_gamma 60.00
_space_group_name_H-M_alt 'P 1'
_space_group_IT_number 1
loop_
_space_group_symop_operation_xyz
'x,y,z'
loop_
_atom_site_label
_atom_site_fract_x
_atom_site_fract_y
_atom_site_fract_z
I1 0.500 0.500 0.500
Sc1 0.250 0.250 0.250
Sc2 0.750 0.750 0.750
Tc1 0.000 0.000 0.000
```

***

Version x
# Sc2TcI

An optimized crystal structure of Sc2TcI (PBE, Alexandria via LeMat-Bulk).

Output
For the calculated density, the calculation gives 5.78 g/cm³. The calculation puts the density of states at the Fermi level at 8.3 states/eV/cell.

```
data_Sc2TcI
_cell_length_a 7.579
_cell_length_b 7.579
_cell_length_c 6.216
_cell_angle_alpha 52.44
_cell_angle_beta 52.44
_cell_angle_gamma 90.00
_space_group_name_H-M_alt 'P 1'
_space_group_IT_number 1
loop_
_space_group_symop_operation_xyz
'x,y,z'
loop_
_atom_site_label
_atom_site_fract_x
_atom_site_fract_y
_atom_site_fract_z
I1 0.000 0.000 0.000
I2 0.750 0.250 0.500
Sc1 0.573 0.125 0.250
Sc2 0.177 0.625 0.250
Sc3 0.375 0.427 0.750
Sc4 0.875 0.823 0.750
Tc1 0.500 0.500 0.000
Tc2 0.250 0.750 0.500
```

***

Version y
# Sc2TcI

An optimized crystal structure of Sc2TcI (PBE, Alexandria via LeMat-Bulk).

Output
For the calculated density, the calculation gives 5.44 g/cm³. The calculation puts the density of states at the Fermi level at 3.9 states/eV/cell.

```
data_Sc2TcI
_cell_length_a 9.501
_cell_length_b 9.501
_cell_length_c 9.501
_cell_angle_alpha 20.96
_cell_angle_beta 20.96
_cell_angle_gamma 20.96
_space_group_name_H-M_alt 'P 1'
_space_group_IT_number 1
loop_
_space_group_symop_operation_xyz
'x,y,z'
loop_
_atom_site_label
_atom_site_fract_x
_atom_site_fract_y
_atom_site_fract_z
I1 0.500 0.500 0.500
Sc1 0.918 0.918 0.918
Sc2 0.082 0.082 0.082
Tc1 0.000 0.000 0.000
```

***

Stability check: which of them is most stable? version w.

***

Version w
# Sc3TcI

An optimized crystal structure of Sc3TcI (PBE, Alexandria via LeMat-Bulk).

Output
For the calculated density, the calculation gives 4.44 g/cm³. The calculation puts the density of states at the Fermi level at 9.2 states/eV/cell.

```
data_Sc3TcI
_cell_length_a 5.126
_cell_length_b 5.126
_cell_length_c 5.126
_cell_angle_alpha 90.00
_cell_angle_beta 90.00
_cell_angle_gamma 90.00
_space_group_name_H-M_alt 'P 1'
_space_group_IT_number 1
loop_
_space_group_symop_operation_xyz
'x,y,z'
loop_
_atom_site_label
_atom_site_fract_x
_atom_site_fract_y
_atom_site_fract_z
I1 0.000 0.000 0.000
Sc1 0.000 0.500 0.000
Sc2 0.000 0.000 0.500
Sc3 0.500 0.000 0.000
Tc1 0.500 0.500 0.500
```

***

Version x
# Sc3TcI

An optimized crystal structure of Sc3TcI (PBE, Alexandria via LeMat-Bulk).

Output
For the calculated density, the calculation gives 4.50 g/cm³. The calculation puts the density of states at the Fermi level at 5.5 states/eV/cell.

```
data_Sc3TcI
_cell_length_a 5.101
_cell_length_b 5.101
_cell_length_c 5.101
_cell_angle_alpha 90.00
_cell_angle_beta 90.00
_cell_angle_gamma 90.00
_space_group_name_H-M_alt 'P 1'
_space_group_IT_number 1
loop_
_space_group_symop_operation_xyz
'x,y,z'
loop_
_atom_site_label
_atom_site_fract_x
_atom_site_fract_y
_atom_site_fract_z
I1 0.500 0.500 0.500
Sc1 0.000 0.500 0.000
Sc2 0.000 0.000 0.500
Sc3 0.500 0.000 0.000
Tc1 0.000 0.000 0.000
```

***

Stability check: which of them is most stable? version x.